DFT (PBE+U) results for a relaxed structure of MoSeI2O.

Values from the calculation:
Crystal system: tetragonal
N(E_F), states/eV/f.u.: 4.41
Energy above the lowest structure with this stoichiometry, meV/atom: 0.0
Space-group type: No. 123

Unit cell a=5.6870 b=5.6870 c=3.8481 alpha=90.00 beta=90.00 gamma=90.00
Fractional coordinates of all 5 atoms:
Mo: 0.0000 0.0000 0.0000
Se: 0.5000 0.5000 0.5000
I: 0.0000 0.5000 0.0000
I: 0.5000 0.0000 0.0000
O: 0.0000 0.0000 0.5000